# 1
The following is a meta-GGA SCAN calculation of a PBEsol-optimized structure of YTiTe2N, from Alexandria.

abc: 3.7899 5.4309 5.4309
angles: 90.00 90.00 90.00
Sites, in units of the cell vectors:
1 Y 0.5000 0.5000 0.5000
2 N 0.5000 0.0000 0.0000
3 Te 0.0000 0.0000 0.5000
4 Te 0.0000 0.5000 0.0000
5 Ti 0.0000 0.0000 0.0000

Computed properties:
formation energy from raw total energies = -0.740 eV/atom

# 2
The following is a meta-GGA SCAN calculation of a PBEsol-optimized structure of TlTe2N, from Alexandria.

abc: 6.4525 6.4525 6.4525
angles: 102.66 112.98 112.98
Sites, in units of the cell vectors:
1 Tl 0.0000 0.0000 0.0000
2 Tl 0.5000 0.7500 0.2500
3 Te 0.8802 0.5052 0.1250
4 Te 0.1198 0.2448 0.6250
5 Te 0.6198 0.3750 0.4948
6 Te 0.3802 0.8750 0.7552
7 N 0.0000 0.5000 0.5000
8 N 0.5000 0.2500 0.7500

Computed properties:
formation energy from raw total energies = 0.549 eV/atom
E above lowest polymorph = 0.00 eV/f.u.

# 3
The following is a meta-GGA SCAN calculation of a PBEsol-optimized structure of TlTe2N, from Alexandria.

abc: 3.2884 3.2884 9.9137
angles: 80.45 80.45 60.00
Sites, in units of the cell vectors:
1 Tl 0.0000 0.0000 0.0000
2 Te 0.8879 0.8879 0.3362
3 Te 0.1121 0.1121 0.6638
4 N 0.5000 0.5000 0.5000

Computed properties:
formation energy from raw total energies = 0.808 eV/atom
E above lowest polymorph = 1.04 eV/f.u.

# 4
The following is a meta-GGA SCAN calculation of a PBEsol-optimized structure of YTe2N2, from Alexandria.

abc: 4.2968 5.9124 5.9124
angles: 90.00 90.00 90.00
Last column: magnetic moment on the atom in μB.
Sites, in units of the cell vectors:
1 Y 0.0000 0.0000 0.0000  0.06
2 Te 0.0000 0.0000 0.5000  -0.37
3 Te 0.0000 0.5000 0.0000  -0.37
4 N 0.5000 0.5000 0.5000  1.86
5 N 0.5000 0.0000 0.0000  1.06

Computed properties:
formation energy from raw total energies = 1.157 eV/atom

# 5
The following is a meta-GGA SCAN calculation of a PBEsol-optimized structure of Y3Te3N, from Alexandria.

abc: 8.0252 8.5257 11.8329
angles: 90.00 90.00 109.51
Sites, in units of the cell vectors:
1 Y 0.4005 0.1414 0.9789
2 Y 0.5995 0.3586 0.4789
3 Y 0.5995 0.8586 0.0211
4 Y 0.4005 0.6414 0.5211
5 Y 0.1567 0.2055 0.5887
6 Y 0.8433 0.2945 0.0887
7 Y 0.8433 0.7945 0.4113
8 Y 0.1567 0.7055 0.9113
9 Y 0.2329 0.3412 0.2909
10 Y 0.7671 0.1588 0.7909
11 Y 0.7671 0.6588 0.7091
12 Y 0.2329 0.8412 0.2091
13 Te 0.2306 0.4201 0.0216
14 Te 0.7694 0.0799 0.5216
15 Te 0.7694 0.5799 0.9784
16 Te 0.2306 0.9201 0.4784
17 Te 0.4884 0.3134 0.7355
18 Te 0.5116 0.1866 0.2355
19 Te 0.5116 0.6866 0.2645
20 Te 0.4884 0.8134 0.7645
21 Te 0.0468 0.4872 0.6889
22 Te 0.9532 0.0128 0.1889
23 Te 0.9532 0.5128 0.3111
24 Te 0.0468 0.9872 0.8111
25 N 0.3257 0.3766 0.4655
26 N 0.6743 0.1234 0.9655
27 N 0.6743 0.6234 0.5345
28 N 0.3257 0.8766 0.0345

Computed properties:
formation energy from raw total energies = -1.735 eV/atom

# 6
The following is a meta-GGA SCAN calculation of a PBEsol-optimized structure of Y3TeN, from Alexandria.

abc: 4.7321 4.7321 4.7321
angles: 90.00 90.00 90.00
Sites, in units of the cell vectors:
1 Y 0.0000 0.5000 0.0000
2 Y 0.0000 0.0000 0.5000
3 Y 0.5000 0.0000 0.0000
4 Te 0.5000 0.5000 0.5000
5 N 0.0000 0.0000 0.0000

Computed properties:
formation energy from raw total energies = -1.058 eV/atom

# 7
The following is a meta-GGA SCAN calculation of a PBEsol-optimized structure of YTeN2, from Alexandria.

abc: 4.9360 4.9360 6.8281
angles: 111.19 111.19 90.00
Sites, in units of the cell vectors:
1 Y 0.7500 0.2500 0.5000
2 Y 0.5000 0.5000 0.0000
3 Te 0.2500 0.7500 0.5000
4 Te 0.0000 0.0000 0.0000
5 N 0.3724 0.8750 0.2500
6 N 0.8776 0.3750 0.2500
7 N 0.1250 0.1224 0.7500
8 N 0.6250 0.6276 0.7500

Computed properties:
formation energy from raw total energies = -0.146 eV/atom

# 8
The following is a meta-GGA SCAN calculation of a PBEsol-optimized structure of YZnTe2N, from Alexandria.

abc: 3.8025 5.4189 5.4189
angles: 90.00 90.00 90.00
Last column: magnetic moment on the atom in μB.
Sites, in units of the cell vectors:
1 Y 0.5000 0.5000 0.5000  -0.05
2 Zn 0.0000 0.0000 0.0000  0.04
3 Te 0.0000 0.0000 0.5000  0.20
4 Te 0.0000 0.5000 0.0000  0.20
5 N 0.5000 0.0000 0.0000  1.07

Computed properties:
formation energy from raw total energies = -0.021 eV/atom

# 9
The following is a meta-GGA SCAN calculation of a PBEsol-optimized structure of YZn2TeN, from Alexandria.

abc: 5.6360 5.8307 5.8307
angles: 90.00 90.00 90.00
Last column: magnetic moment on the atom in μB.
Sites, in units of the cell vectors:
1 Y 0.0000 0.0000 0.0000  -0.27
2 Zn 0.0000 0.0000 0.5000  -0.04
3 Zn 0.0000 0.5000 0.0000  -0.04
4 Te 0.5000 0.0000 0.0000  0.06
5 N 0.5000 0.5000 0.5000  1.90

Computed properties:
formation energy from raw total energies = 1.133 eV/atom

# 10
The following is a meta-GGA SCAN calculation of a PBEsol-optimized structure of ZnTeN2, from Alexandria.

abc: 3.4733 3.4733 6.2366
angles: 73.83 73.83 60.00
Sites, in units of the cell vectors:
1 Zn 0.0000 0.0000 0.0000
2 Te 0.5000 0.5000 0.5000
3 N 0.8975 0.8975 0.3076
4 N 0.1025 0.1025 0.6924

Computed properties:
formation energy from raw total energies = 0.781 eV/atom

# 11
The following is a meta-GGA SCAN calculation of a PBEsol-optimized structure of ZnTeN3, from Alexandria.

abc: 3.9529 3.9529 3.9529
angles: 90.00 90.00 90.00
Sites, in units of the cell vectors:
1 Zn 0.5000 0.5000 0.5000
2 Te 0.0000 0.0000 0.0000
3 N 0.0000 0.5000 0.0000
4 N 0.0000 0.0000 0.5000
5 N 0.5000 0.0000 0.0000

Computed properties:
formation energy from raw total energies = 1.677 eV/atom

# 12
The following is a meta-GGA SCAN calculation of a PBEsol-optimized structure of ZrTeN3, from Alexandria.

abc: 4.1904 4.1904 4.1904
angles: 90.00 90.00 90.00
Last column: magnetic moment on the atom in μB.
Sites, in units of the cell vectors:
1 Te 0.5000 0.5000 0.5000  -0.08
2 Zr 0.0000 0.0000 0.0000  -0.09
3 N 0.0000 0.5000 0.0000  0.54
4 N 0.0000 0.0000 0.5000  0.54
5 N 0.5000 0.0000 0.0000  0.54

Computed properties:
formation energy from raw total energies = 0.742 eV/atom

# 13
The following is a meta-GGA SCAN calculation of a PBEsol-optimized structure of ThN, from Alexandria.

abc: 3.6251 3.6251 3.6251
angles: 60.00 60.00 60.00
Sites, in units of the cell vectors:
1 Th 0.0000 0.0000 0.0000
2 N 0.5000 0.5000 0.5000

Computed properties:
formation energy from raw total energies = -1.693 eV/atom